No. 1
First-principles (GGA-PBE) data for Be2AuBr after structural relaxation, as listed in the Alexandria database.

Values from the calculation:
SG = Cmmm (65)
Theoretical density = 7.9 g/cm³
Electronic total energy = -10.0 eV per cell
Raw formation energy = 599.7 meV/atom

Cell: 4.628 4.628 2.884 Å, 90.00 90.00 93.17°
Positions (direct):
Be 0.000 0.500 0.000
Be 0.500 0.000 0.000
Au 0.000 0.000 0.500
Br 0.500 0.500 0.500

No. 2
First-principles (GGA-PBE) data for ZnCrIn2 after structural relaxation, as listed in the Alexandria database.

Values from the calculation:
SG = P4/mmm (123)
Theoretical density = 7.7 g/cm³
Electronic total energy = -15.4 eV per cell
DFT formation energy = 241 meV per atom

Cell: 4.305 4.305 4.058 Å, 90.00 90.00 90.00°
Positions (direct):
Zn 0.000 0.000 0.000
Cr 0.500 0.500 0.000
In 0.000 0.500 0.500
In 0.500 0.000 0.500

No. 3
First-principles (GGA-PBE) data for CdTeAs2 after structural relaxation, as listed in the Alexandria database.

Values from the calculation:
SG = Imm2 (44)
Theoretical density = 6.2 g/cm³
Electronic total energy = -12.8 eV per cell
Raw formation energy = 131.5 meV/atom

Cell: 7.582 7.582 7.582 Å, 153.31 147.87 42.24°
Positions (direct):
Cd 0.000 0.000 0.000
Te 0.352 0.852 0.500
As 0.593 0.593 0.000
As 0.716 0.216 0.500

No. 4
First-principles (GGA-PBE) data for ZrTaAg after structural relaxation, as listed in the Alexandria database.

Values from the calculation:
SG = P3m1 (156)
Theoretical density = 10.8 g/cm³
Electronic total energy = -22.5 eV per cell
DFT formation energy = 239 meV per atom

Cell: 2.934 2.934 7.853 Å, 90.00 90.00 120.00°
Positions (direct):
Zr 0.000 0.000 0.000
Ta 0.333 0.667 0.656
Ag 0.667 0.333 0.337

No. 5
First-principles (GGA-PBE) data for NbHgRh2 after structural relaxation, as listed in the Alexandria database.

Values from the calculation:
SG = P4/mmm (123)
Theoretical density = 12.3 g/cm³
Electronic total energy = -26.0 eV per cell
DFT formation energy = -221 meV per atom

Cell: 3.308 3.308 6.167 Å, 90.00 90.00 90.00°
Positions (direct):
Nb 0.000 0.000 0.000
Hg 0.000 0.000 0.500
Rh 0.500 0.500 0.228
Rh 0.500 0.500 0.772

No. 6
First-principles (GGA-PBE) data for RbAsPd after structural relaxation, as listed in the Alexandria database.

Values from the calculation:
SG = I4mm (107)
Theoretical density = 5.8 g/cm³
Electronic total energy = -11.7 eV per cell
DFT formation energy = -307 meV per atom

Cell: 6.656 6.656 6.656 Å, 149.24 149.24 44.06°
Positions (direct):
Rb 0.000 0.000 0.000
As 0.717 0.717 0.000
Pd 0.275 0.275 0.000

No. 7
First-principles (GGA-PBE) data for CaMn2Cu after structural relaxation, as listed in the Alexandria database.

Values from the calculation:
SG = I-4m2 (119)
Theoretical density = 5.1 g/cm³
Electronic total energy = -22.9 eV per cell
DFT formation energy = 380 meV per atom

Cell: 4.605 4.605 4.605 Å, 119.85 119.85 90.26°
Positions (direct):
Ca 0.000 0.000 0.000
Mn 0.500 0.500 0.000
Mn 0.750 0.250 0.500
Cu 0.250 0.750 0.500

No. 8
First-principles (GGA-PBE) data for CeHoHfMg after structural relaxation, as listed in the Alexandria database.

Values from the calculation:
SG = F-43m (216)
Theoretical density = 8.1 g/cm³
Electronic total energy = -21.4 eV per cell
DFT formation energy = 164 meV per atom

Cell: 5.277 5.277 5.277 Å, 60.00 60.00 60.00°
Positions (direct):
Ce 0.000 0.000 0.000
Ho 0.500 0.500 0.500
Hf 0.250 0.250 0.250
Mg 0.750 0.750 0.750

No. 9
First-principles (GGA-PBE) data for Bi4Se5I after structural relaxation, as listed in the Alexandria database.

Values from the calculation:
SG = Pmmn (59)
Theoretical density = 6.4 g/cm³
Electronic total energy = -73.3 eV per cell
Raw formation energy = -212.9 meV/atom

Cell: 8.638 10.926 7.473 Å, 90.00 90.00 90.00°
Positions (direct):
Bi 0.052 0.250 0.028
Bi 0.250 0.017 0.500
Bi 0.250 0.483 0.500
Bi 0.448 0.250 0.028
Bi 0.552 0.750 0.972
Bi 0.750 0.517 0.500
Bi 0.750 0.983 0.500
Bi 0.948 0.750 0.972
Se 0.011 0.048 0.240
Se 0.011 0.452 0.240
Se 0.250 0.250 0.667
Se 0.489 0.048 0.240
Se 0.489 0.452 0.240
Se 0.511 0.548 0.760
Se 0.511 0.952 0.760
Se 0.750 0.750 0.333
Se 0.989 0.548 0.760
Se 0.989 0.952 0.760
I 0.250 0.750 0.285
I 0.750 0.250 0.715

No. 10
First-principles (GGA-PBE) data for NdScTc after structural relaxation, as listed in the Alexandria database.

Values from the calculation:
SG = R-3m (166)
Theoretical density = 6.8 g/cm³
Electronic total energy = -126.7 eV per cell
DFT formation energy = 117 meV per atom

Cell: 13.217 13.217 13.217 Å, 27.02 27.02 27.02°
Positions (direct):
Nd 0.038 0.038 0.038
Nd 0.184 0.184 0.184
Nd 0.274 0.274 0.274
Nd 0.726 0.726 0.726
Nd 0.816 0.816 0.816
Nd 0.962 0.962 0.962
Sc 0.236 0.715 0.715
Sc 0.285 0.285 0.764
Sc 0.285 0.764 0.285
Sc 0.715 0.236 0.715
Sc 0.715 0.715 0.236
Sc 0.764 0.285 0.285
Tc 0.000 0.500 0.500
Tc 0.381 0.381 0.381
Tc 0.500 0.000 0.500
Tc 0.500 0.500 0.000
Tc 0.500 0.500 0.500
Tc 0.619 0.619 0.619

No. 11
First-principles (GGA-PBE) data for ErZrGa2 after structural relaxation, as listed in the Alexandria database.

Values from the calculation:
SG = P4/mmm (123)
Theoretical density = 8.0 g/cm³
Electronic total energy = -21.1 eV per cell
DFT formation energy = -486 meV per atom

Cell: 3.568 3.568 6.477 Å, 90.00 90.00 90.00°
Positions (direct):
Er 0.000 0.000 0.000
Zr 0.000 0.000 0.500
Ga 0.500 0.500 0.270
Ga 0.500 0.500 0.730

No. 12
First-principles (GGA-PBE) data for TaCoAg2 after structural relaxation, as listed in the Alexandria database.

Values from the calculation:
SG = P4/mmm (123)
Theoretical density = 11.4 g/cm³
Electronic total energy = -22.1 eV per cell
DFT formation energy = 642 meV per atom

Cell: 4.889 4.889 2.787 Å, 90.00 90.00 90.00°
Positions (direct):
Ta 0.000 0.000 0.000
Co 0.500 0.500 0.000
Ag 0.000 0.500 0.500
Ag 0.500 0.000 0.500

No. 13
First-principles (GGA-PBE) data for Ce3Al9Tc2 after structural relaxation, as listed in the Alexandria database.

Values from the calculation:
SG = Immm (71)
Theoretical density = 5.3 g/cm³
Electronic total energy = -78.5 eV per cell
DFT formation energy = -448 meV per atom

Cell: 8.207 8.207 8.207 Å, 148.59 108.21 80.45°
Positions (direct):
Ce 0.000 0.000 0.000
Ce 0.302 0.302 0.000
Ce 0.698 0.698 0.000
Al 0.010 0.651 0.360
Al 0.157 0.875 0.282
Al 0.291 0.651 0.640
Al 0.406 0.125 0.282
Al 0.500 0.000 0.500
Al 0.594 0.875 0.718
Al 0.709 0.349 0.360
Al 0.843 0.125 0.718
Al 0.990 0.349 0.640
Tc 0.327 0.500 0.827
Tc 0.673 0.500 0.173

No. 14
First-principles (GGA-PBE) data for Y4TeRhSe2 after structural relaxation, as listed in the Alexandria database.

Values from the calculation:
SG = P2/m (10)
Theoretical density = 6.0 g/cm³
Electronic total energy = -54.3 eV per cell
Raw formation energy = -1372.8 meV/atom

Cell: 7.296 4.089 7.318 Å, 90.00 108.57 90.00°
Positions (direct):
Y 0.234 0.000 0.221
Y 0.254 0.500 0.776
Y 0.746 0.500 0.224
Y 0.766 0.000 0.779
Te 0.000 0.000 0.500
Rh 0.000 0.500 0.000
Se 0.500 0.000 0.000
Se 0.500 0.500 0.500

No. 15
First-principles (GGA-PBE) data for CdIn5Hg5 after structural relaxation, as listed in the Alexandria database.

Values from the calculation:
SG = P-6m2 (187)
Theoretical density = 9.0 g/cm³
Electronic total energy = -14.9 eV per cell
DFT formation energy = 113 meV per atom

Cell: 5.763 5.763 10.787 Å, 90.00 90.00 120.00°
Positions (direct):
Cd 0.000 0.000 0.000
In 0.000 0.000 0.301
In 0.000 0.000 0.699
In 0.333 0.667 0.153
In 0.333 0.667 0.847
In 0.667 0.333 0.000
Hg 0.006 0.503 0.500
Hg 0.497 0.503 0.500
Hg 0.497 0.994 0.500
Hg 0.667 0.333 0.260
Hg 0.667 0.333 0.740

No. 16
First-principles (GGA-PBE) data for Sr3Zn2Cd7 after structural relaxation, as listed in the Alexandria database.

Values from the calculation:
SG = R-3m (166)
Theoretical density = 6.3 g/cm³
Electronic total energy = -16.9 eV per cell
DFT formation energy = -244 meV per atom

Cell: 10.046 10.046 10.046 Å, 35.87 35.87 35.87°
Positions (direct):
Sr 0.000 0.000 0.000
Sr 0.143 0.143 0.143
Sr 0.857 0.857 0.857
Zn 0.335 0.335 0.335
Zn 0.665 0.665 0.665
Cd 0.073 0.582 0.582
Cd 0.418 0.418 0.927
Cd 0.418 0.927 0.418
Cd 0.500 0.500 0.500
Cd 0.582 0.073 0.582
Cd 0.582 0.582 0.073
Cd 0.927 0.418 0.418

No. 17
First-principles (GGA-PBE) data for BaSrAc2 after structural relaxation, as listed in the Alexandria database.

Values from the calculation:
SG = P4/mmm (123)
Theoretical density = 5.7 g/cm³
Electronic total energy = -11.4 eV per cell
DFT formation energy = 114 meV per atom

Cell: 4.039 4.039 12.201 Å, 90.00 90.00 90.00°
Positions (direct):
Ba 0.000 0.000 0.000
Sr 0.000 0.000 0.500
Ac 0.500 0.500 0.253
Ac 0.500 0.500 0.747